Model P:
Computed, not measured: an optimized crystal structure of AcNi6 at the PBE-GGA level of DFT.

Calculated values
DOS at the Fermi energy, states/eV/atom: 1.3629
Magnetic moment, μB per formula unit: 1.52

abc: 5.0495 7.8994 10.0885
angles: 90.00 90.00 90.00
Each line ends with the local moment (μB).
Positions (direct):
Ac 0.7500 0.2340 0.9402  -0.04
Ac 0.2500 0.7660 0.0598  -0.04
Ac 0.7500 0.7340 0.5598  -0.04
Ac 0.2500 0.2660 0.4402  -0.04
Ni 0.7500 0.6045 0.0179  0.20
Ni 0.2500 0.3955 0.9821  0.20
Ni 0.7500 0.1045 0.4821  0.20
Ni 0.2500 0.8955 0.5179  0.20
Ni 0.0039 0.4316 0.1884  0.35
Ni 0.5039 0.5684 0.8116  0.35
Ni 0.4961 0.9316 0.3116  0.35
Ni 0.9961 0.0684 0.6884  0.35
Ni 0.9961 0.5684 0.8116  0.35
Ni 0.4961 0.4316 0.1884  0.35
Ni 0.5039 0.0684 0.6884  0.35
Ni 0.0039 0.9316 0.3116  0.35
Ni 0.2500 0.1535 0.1486  0.30
Ni 0.7500 0.8465 0.8514  0.30
Ni 0.2500 0.6535 0.3514  0.30
Ni 0.7500 0.3465 0.6486  0.30
Ni 0.2500 0.8233 0.7577  0.38
Ni 0.7500 0.1767 0.2423  0.38
Ni 0.2500 0.3233 0.7423  0.38
Ni 0.7500 0.6767 0.2577  0.38
Ni 0.2500 0.5733 0.6031  0.14
Ni 0.7500 0.4267 0.3969  0.14
Ni 0.2500 0.0733 0.8969  0.14
Ni 0.7500 0.9267 0.1031  0.14

=====

Model Q:
Computed, not measured: an optimized crystal structure of AcNi6 at the PBE-GGA level of DFT.

Calculated values
DOS at the Fermi energy, states/eV/atom: 1.0296
Magnetic moment, μB per formula unit: 3.40

abc: 5.4518 5.4518 5.4518
angles: 109.47 109.47 109.47
Each line ends with the local moment (μB).
Positions (direct):
Ac 0.0000 0.0000 0.0000  -0.05
Ni 0.2500 0.7500 0.5000  0.62
Ni 0.5000 0.7500 0.2500  0.62
Ni 0.2500 0.5000 0.7500  0.62
Ni 0.7500 0.2500 0.5000  0.62
Ni 0.5000 0.2500 0.7500  0.62
Ni 0.7500 0.5000 0.2500  0.62

=====

Decreasing stability: model P, model Q